one) Entry from the Alexandria database: a relaxed CeMg2Cd crystal (PBE-GGA).

```
CeMg2Cd
1.0
-2.5971 2.5971 3.6627
2.5971 -2.5971 3.6627
2.5971 2.5971 -3.6627
Ce Mg Cd
1 2 1
Cartesian
0.0000 0.0000 0.0000
2.5971 0.0000 1.8314
0.0000 0.0000 3.6627
0.0000 2.5971 1.8314
```

Calculated values
SG ... I-4m2, No. 119
Magnetization ... 0.95 μB/f.u.



two) Entry from the Alexandria database: a relaxed CeMg2Cd crystal (PBE-GGA).

```
CeMg2Cd
1.0
1.5677 0.9051 10.9935
-1.5677 0.9051 10.9935
0.0000 -1.8102 10.9935
Ce Mg Cd
1 2 1
Cartesian
0.0000 0.0000 0.0000
0.0000 0.0000 8.0819
0.0000 0.0000 13.9463
0.0000 0.0000 27.5109
```

Calculated values
SG ... R3m, No. 160
Magnetization ... 0.00 μB/f.u.



Relative energies, kJ/mol of atoms: one) 0.0; two) 8.4.